The following is a DFT calculation (PBE-GGA) of a geometry-optimized GaGe2H structure.

Cell: 4.4408 4.4408 4.4408 Å, 60.00 60.00 60.00°
Atoms (fractional coordinates):
Ga: 0.0000 0.0000 0.0000
Ge: 0.2500 0.2500 0.2500
Ge: 0.7500 0.7500 0.7500
H: 0.5000 0.5000 0.5000

Values from the calculation:
**Relative energy among the computed polymorphs**: 151 meV per atom
**Space-group type**: Fm-3m (225)

=====

The following is a DFT calculation (PBE-GGA) of a geometry-optimized Ga2GeH structure.

Cell: 4.4372 4.4372 4.4372 Å, 60.00 60.00 60.00°
Atoms (fractional coordinates):
Ga: 0.2500 0.2500 0.2500
Ga: 0.7500 0.7500 0.7500
Ge: 0.0000 0.0000 0.0000
H: 0.5000 0.5000 0.5000

Values from the calculation:
**Relative energy among the computed polymorphs**: 198 meV per atom
**Space-group type**: Fm-3m (225)

=====

The following is a DFT calculation (PBE-GGA) of a geometry-optimized Ga2GeH structure.

Cell: 6.2967 6.2967 6.2967 Å, 37.69 37.69 37.69°
Atoms (fractional coordinates):
Ga: 0.1009 0.1009 0.1009
Ga: 0.8991 0.8991 0.8991
Ge: 0.5000 0.5000 0.5000
H: 0.0000 0.0000 0.0000

Values from the calculation:
**Relative energy among the computed polymorphs**: 0 meV per atom
**Space-group type**: R-3m (166)

=====

The following is a DFT calculation (PBE-GGA) of a geometry-optimized GaGe3H structure.

Cell: 4.3372 4.3372 4.3372 Å, 90.00 90.00 90.00°
Atoms (fractional coordinates):
Ga: 0.0000 0.0000 0.0000
Ge: 0.0000 0.5000 0.5000
Ge: 0.5000 0.0000 0.5000
Ge: 0.5000 0.5000 0.0000
H: 0.5000 0.5000 0.5000

Values from the calculation:
**Relative energy among the computed polymorphs**: 0 meV per atom
**Space-group type**: Pm-3m (221)

=====

The following is a DFT calculation (PBE-GGA) of a geometry-optimized GaGe3H structure.

Cell: 4.9742 4.9742 4.9742 Å, 90.00 90.00 90.00°
Atoms (fractional coordinates):
Ga: 0.0000 0.0000 0.0000
Ge: 0.0000 0.0000 0.5000
Ge: 0.0000 0.5000 0.0000
Ge: 0.5000 0.0000 0.0000
H: 0.5000 0.5000 0.5000

Values from the calculation:
**Relative energy among the computed polymorphs**: 700 meV per atom
**Space-group type**: Pm-3m (221)

=====

The following is a DFT calculation (PBE-GGA) of a geometry-optimized Ga12Ge3H5 structure.

Cell: 11.8974 11.8974 11.8974 Å, 109.47 109.47 109.47°
Atoms (fractional coordinates):
Ga: 0.0091 0.1963 0.0979
Ga: 0.0091 0.3127 0.9112
Ga: 0.0888 0.5979 0.4015
Ga: 0.0888 0.9909 0.6873
Ga: 0.0979 0.0091 0.1963
Ga: 0.0979 0.5888 0.9015
Ga: 0.0985 0.6963 0.6873
Ga: 0.0985 0.9021 0.4112
Ga: 0.1873 0.1963 0.5985
Ga: 0.1873 0.4909 0.5888
Ga: 0.1963 0.0979 0.0091
Ga: 0.1963 0.5985 0.1873
Ga: 0.3037 0.3127 0.9015
Ga: 0.3037 0.4909 0.4021
Ga: 0.3127 0.9015 0.3037
Ga: 0.3127 0.9112 0.0091
Ga: 0.4015 0.0888 0.5979
Ga: 0.4021 0.3037 0.4909
Ga: 0.4021 0.5985 0.9112
Ga: 0.4015 0.8127 0.8037
Ga: 0.4112 0.0985 0.9021
Ga: 0.4112 0.8127 0.5091
Ga: 0.4909 0.4021 0.3037
Ga: 0.4909 0.5888 0.1873
Ga: 0.5091 0.4112 0.8127
Ga: 0.5091 0.5979 0.6963
Ga: 0.5888 0.1873 0.4909
Ga: 0.5888 0.9015 0.0979
Ga: 0.5985 0.1873 0.1963
Ga: 0.5979 0.4015 0.0888
Ga: 0.5979 0.6963 0.5091
Ga: 0.5985 0.9112 0.4021
Ga: 0.6873 0.0888 0.9909
Ga: 0.6873 0.0985 0.6963
Ga: 0.6963 0.5091 0.5979
Ga: 0.6963 0.6873 0.0985
Ga: 0.8037 0.4015 0.8127
Ga: 0.8037 0.9021 0.9909
Ga: 0.8127 0.5091 0.4112
Ga: 0.8127 0.8037 0.4015
Ga: 0.9015 0.0979 0.5888
Ga: 0.9015 0.3037 0.3127
Ga: 0.9021 0.4112 0.0985
Ga: 0.9021 0.9909 0.8037
Ga: 0.9112 0.0091 0.3127
Ga: 0.9112 0.4021 0.5985
Ga: 0.9909 0.6873 0.0888
Ga: 0.9909 0.8037 0.9021
Ge: 0.1250 0.2500 0.3750
Ge: 0.1250 0.3750 0.7500
Ge: 0.2500 0.3750 0.1250
Ge: 0.2500 0.8750 0.6250
Ge: 0.3750 0.1250 0.2500
Ge: 0.3750 0.7500 0.1250
Ge: 0.6250 0.2500 0.8750
Ge: 0.6250 0.8750 0.7500
Ge: 0.7500 0.1250 0.3750
Ge: 0.7500 0.6250 0.8750
Ge: 0.8750 0.6250 0.2500
Ge: 0.8750 0.7500 0.6250
H: 0.0000 0.0000 0.0000
H: 0.0000 0.0000 0.5000
H: 0.0000 0.5000 0.0000
H: 0.0000 0.5000 0.5000
H: 0.1250 0.7500 0.8750
H: 0.1250 0.8750 0.2500
H: 0.2500 0.1250 0.8750
H: 0.2500 0.6250 0.3750
H: 0.3750 0.2500 0.6250
H: 0.3750 0.6250 0.7500
H: 0.5000 0.0000 0.0000
H: 0.5000 0.0000 0.5000
H: 0.5000 0.5000 0.0000
H: 0.5000 0.5000 0.5000
H: 0.6250 0.3750 0.2500
H: 0.6250 0.7500 0.3750
H: 0.7500 0.3750 0.6250
H: 0.7500 0.8750 0.1250
H: 0.8750 0.1250 0.7500
H: 0.8750 0.2500 0.1250

Values from the calculation:
**E**: -3.0592 eV per atom
**Space-group type**: Ia-3d (230)

=====

The following is a DFT calculation (PBE-GGA) of a geometry-optimized Ga2GeH2 structure.

Cell: 6.8992 6.8992 2.7732 Å, 90.00 90.00 90.00°
Atoms (fractional coordinates):
Ga: 0.1394 0.3606 0.0000
Ga: 0.3606 0.8606 0.0000
Ga: 0.6394 0.1394 0.0000
Ga: 0.8606 0.6394 0.0000
Ge: 0.0000 0.0000 0.0000
Ge: 0.5000 0.5000 0.0000
H: 0.1095 0.6095 0.5000
H: 0.3905 0.1095 0.5000
H: 0.6095 0.8905 0.5000
H: 0.8905 0.3905 0.5000

Values from the calculation:
**Relative energy among the computed polymorphs**: 142 meV per atom
**Space-group type**: P4/mbm (127)

=====

The following is a DFT calculation (PBE-GGA) of a geometry-optimized Ga3GeH structure.

Cell: 4.3269 4.3269 4.3269 Å, 90.00 90.00 90.00°
Atoms (fractional coordinates):
Ga: 0.0000 0.0000 0.5000
Ga: 0.0000 0.5000 0.0000
Ga: 0.5000 0.0000 0.0000
Ge: 0.5000 0.5000 0.5000
H: 0.0000 0.0000 0.0000

Values from the calculation:
**Relative energy among the computed polymorphs**: 0 meV per atom
**Space-group type**: Pm-3m (221)

=====

The following is a DFT calculation (PBE-GGA) of a geometry-optimized K2GaGeH structure.

Cell: 6.9774 4.2377 10.1776 Å, 90.00 109.27 90.00°
Atoms (fractional coordinates):
K: 0.2139 0.2500 0.4126
K: 0.2690 0.7500 0.0459
K: 0.7310 0.2500 0.9541
K: 0.7861 0.7500 0.5874
Ga: 0.2213 0.2500 0.7628
Ga: 0.7787 0.7500 0.2372
Ge: 0.3622 0.7500 0.7124
Ge: 0.6378 0.2500 0.2876
H: 0.0386 0.2500 0.8434
H: 0.9614 0.7500 0.1566

Values from the calculation:
**E**: -2.7897 eV per atom
**Space-group type**: P2_1/m (11)

=====

The following is a DFT calculation (PBE-GGA) of a geometry-optimized KGaGeH structure.

Cell: 3.7010 3.7010 7.1469 Å, 106.60 106.60 72.10°
Atoms (fractional coordinates):
K: 0.0000 0.0000 0.0000
Ga: 0.2129 0.2129 0.5687
Ge: 0.7481 0.7481 0.3888
H: 0.3213 0.3213 0.8177

Values from the calculation:
**E**: -3.0878 eV per atom
**Space-group type**: Cm (8)

=====

The following is a DFT calculation (PBE-GGA) of a geometry-optimized Li2GaGeH structure.

Cell: 3.9804 3.9804 4.1583 Å, 90.00 90.00 90.00°
Atoms (fractional coordinates):
Li: 0.0000 0.5000 0.0000
Li: 0.5000 0.0000 0.0000
Ga: 0.0000 0.0000 0.5000
Ge: 0.5000 0.5000 0.5000
H: 0.5000 0.5000 0.0000

Values from the calculation:
**Relative energy among the computed polymorphs**: 66 meV per atom
**Space-group type**: P4/mmm (123)

=====

The following is a DFT calculation (PBE-GGA) of a geometry-optimized Li2GaGeH structure.

Cell: 3.8520 3.8520 4.4423 Å, 90.00 90.00 90.00°
Atoms (fractional coordinates):
Li: 0.0000 0.5000 0.0000
Li: 0.5000 0.0000 0.0000
Ga: 0.0000 0.0000 0.5000
Ge: 0.5000 0.5000 0.5000
H: 0.0000 0.0000 0.0000

Values from the calculation:
**Relative energy among the computed polymorphs**: 0 meV per atom
**Space-group type**: P4/mmm (123)

=====

The following is a DFT calculation (PBE-GGA) of a geometry-optimized GaGe2MoH structure.

Cell: 4.9229 4.9229 3.6939 Å, 90.00 90.00 90.00°
Atoms (fractional coordinates):
Ga: 0.0000 0.0000 0.0000
Ge: 0.0000 0.5000 0.5000
Ge: 0.5000 0.0000 0.5000
Mo: 0.5000 0.5000 0.5000
H: 0.5000 0.5000 0.0000

Values from the calculation:
**E**: -4.8846 eV per atom
**Space-group type**: P4/mmm (123)

=====

The following is a DFT calculation (PBE-GGA) of a geometry-optimized NaGaGeH structure.

Cell: 3.6803 3.6803 6.7082 Å, 106.20 106.20 63.60°
Atoms (fractional coordinates):
Na: 0.0000 0.0000 0.0000
Ga: 0.4951 0.4951 0.4277
Ge: 0.2201 0.2201 0.6342
H: 0.4022 0.4022 0.1656

Values from the calculation:
**E**: -3.0942 eV per atom
**Space-group type**: Cm (8)

=====

The following is a DFT calculation (PBE-GGA) of a geometry-optimized GaNi4GeH structure.

Cell: 6.5820 6.5820 5.0612 Å, 90.00 90.00 134.96°
Atoms (fractional coordinates):
Ga: 0.1041 0.8959 0.7500
Ga: 0.8959 0.1041 0.2500
Ni: 0.0000 0.5000 0.0000
Ni: 0.0000 0.5000 0.5000
Ni: 0.0907 0.9093 0.2500
Ni: 0.4160 0.5840 0.2500
Ni: 0.5000 0.0000 0.0000
Ni: 0.5000 0.0000 0.5000
Ni: 0.5840 0.4160 0.7500
Ni: 0.9093 0.0907 0.7500
Ge: 0.3922 0.6078 0.7500
Ge: 0.6078 0.3922 0.2500
H: 0.2475 0.7525 0.2500
H: 0.7525 0.2475 0.7500

Values from the calculation:
**E**: -5.0625 eV per atom
**Space-group type**: Cmcm (63)

=====

The following is a DFT calculation (PBE-GGA) of a geometry-optimized Ga2Ni7GeH2 structure.

Cell: 3.6012 3.6012 9.6777 Å, 96.04 96.04 90.18°
Atoms (fractional coordinates):
Ga: 0.1198 0.1198 0.3797
Ga: 0.8802 0.8802 0.6203
Ni: 0.0583 0.5614 0.1902
Ni: 0.3798 0.3798 0.6117
Ni: 0.4386 0.9417 0.8098
Ni: 0.5000 0.5000 0.0000
Ni: 0.5614 0.0583 0.1902
Ni: 0.6202 0.6202 0.3883
Ni: 0.9417 0.4386 0.8098
Ge: 0.0000 0.0000 0.0000
H: 0.4420 0.4420 0.8056
H: 0.5580 0.5580 0.1944

Values from the calculation:
**E**: -5.0616 eV per atom
**Space-group type**: C2/m (12)

=====

The following is a DFT calculation (PBE-GGA) of a geometry-optimized GaGe2HPd structure.

Cell: 4.8820 4.8820 4.7560 Å, 90.00 90.00 90.00°
Atoms (fractional coordinates):
Ga: 0.0000 0.0000 0.0000
Ge: 0.0000 0.5000 0.0000
Ge: 0.5000 0.0000 0.0000
H: 0.5000 0.5000 0.5000
Pd: 0.0000 0.0000 0.5000

Values from the calculation:
**E**: -3.1445 eV per atom
**Space-group type**: P4/mmm (123)

=====

The following is a DFT calculation (PBE-GGA) of a geometry-optimized RbGaGeH structure.

Cell: 3.7567 3.7567 7.4983 Å, 107.61 107.61 72.27°
Atoms (fractional coordinates):
Rb: 0.0000 0.0000 0.0000
Ga: 0.3965 0.3965 0.5619
Ge: 0.7053 0.7053 0.3920
H: 0.5022 0.5022 0.8016

Values from the calculation:
**E**: -3.0225 eV per atom
**Space-group type**: Cm (8)

=====

The following is a DFT calculation (PBE-GGA) of a geometry-optimized Rb2GaGeH structure.

Cell: 7.3273 4.2729 10.6351 Å, 90.00 109.07 90.00°
Atoms (fractional coordinates):
Rb: 0.2121 0.2500 0.4100
Rb: 0.2704 0.7500 0.0481
Rb: 0.7296 0.2500 0.9519
Rb: 0.7879 0.7500 0.5900
Ga: 0.2214 0.2500 0.7598
Ga: 0.7786 0.7500 0.2402
Ge: 0.3579 0.7500 0.7148
Ge: 0.6421 0.2500 0.2852
H: 0.0380 0.2500 0.8303
H: 0.9620 0.7500 0.1697

Values from the calculation:
**E**: -2.7159 eV per atom
**Space-group type**: P2_1/m (11)

=====

The following is a DFT calculation (PBE-GGA) of a geometry-optimized GaRe2GeH structure.

Cell: 4.8322 4.8322 3.0587 Å, 90.00 90.00 90.00°
Atoms (fractional coordinates):
Ga: 0.0000 0.0000 0.0000
Re: 0.0000 0.5000 0.5000
Re: 0.5000 0.0000 0.5000
Ge: 0.5000 0.5000 0.5000
H: 0.5000 0.5000 0.0000

Values from the calculation:
**E**: -6.0514 eV per atom
**Space-group type**: P4/mmm (123)